(1)
Below is a relaxed CoCu2Re crystal, with properties calculated at the PBE level.

Lattice parameters (Å, degrees): 4.942 4.942 4.942 148.29 127.59 62.57
Atoms (fractional coordinates):
Cu 0.997 0.997 0.000
Cu 0.241 0.741 0.500
Co 0.752 0.252 0.500
Re 0.510 0.510 0.000

## Properties
Magnetic moment: 0.000 μB per formula unit
Crystal system: orthorhombic
Energy of formation: 0.341 eV per atom
Volume: 49.8 Å³ per cell
Distance to the lowest polymorph of the same formula: 197 meV per atom

(2)
Below is a relaxed Co2CuRe crystal, with properties calculated at the PBE level.

Lattice parameters (Å, degrees): 2.614 3.535 5.173 90.00 90.00 90.00
Atoms (fractional coordinates):
Re 0.500 0.500 0.750
Co 0.000 0.000 0.000
Co 0.000 0.000 0.500
Cu 0.500 0.500 0.250

## Properties
Magnetic moment: 0.000 μB per formula unit
Crystal system: orthorhombic
Energy of formation: 0.125 eV per atom
Volume: 47.8 Å³ per cell
Distance to the lowest polymorph of the same formula: 20 meV per atom

(3)
Below is a relaxed Co2CuRe crystal, with properties calculated at the PBE level.

Lattice parameters (Å, degrees): 8.471 8.471 8.471 17.90 17.90 17.90
Atoms (fractional coordinates):
Co 0.997 0.997 0.997
Co 0.253 0.253 0.253
Re 0.747 0.747 0.747
Cu 0.504 0.504 0.504

## Properties
Magnetic moment: 2.663 μB per formula unit
Crystal system: trigonal
Energy of formation: 0.232 eV per atom
Volume: 50.1 Å³ per cell
Distance to the lowest polymorph of the same formula: 126 meV per atom

(4)
Below is a relaxed CoCu2Re crystal, with properties calculated at the PBE level.

Lattice parameters (Å, degrees): 4.113 4.113 4.113 60.00 60.00 60.00
Atoms (fractional coordinates):
Cu 0.250 0.250 0.250
Cu 0.750 0.750 0.750
Co 0.000 0.000 0.000
Re 0.500 0.500 0.500

## Properties
Magnetic moment: 0.288 μB per formula unit
Crystal system: cubic
Energy of formation: 0.502 eV per atom
Volume: 49.2 Å³ per cell
Distance to the lowest polymorph of the same formula: 358 meV per atom